# PBE PmSm2Ho4Sc, relaxed
data_PmSm2Ho4Sc
_chemical_formula_sum 'Pm4 Sm8 Ho16 Sc4'
_symmetry_space_group_name_H-M 'C 1 2/c 1'
_symmetry_Int_Tables_number 15
_symmetry_space_group_name_Hall '-C 2yc'
_cell_length_a 13.490
_cell_length_b 13.100
_cell_length_c 6.743
_cell_angle_alpha 90.00
_cell_angle_beta 119.97
_cell_angle_gamma 90.00
loop_
_atom_site_label
_atom_site_fract_x
_atom_site_fract_y
_atom_site_fract_z
Pm1 0.250 0.250 0.000
Sm1 0.000 0.000 0.000
Sm2 0.250 0.250 0.500
Ho1 0.000 0.263 0.000
Ho2 0.235 0.500 0.484
Sc1 0.000 0.500 0.000
# ΔE_f: 0.425 eV per atom
# DOS at the Fermi energy: 18.055 states/eV/f.u.
# electronic total energy: -4.43 eV/atom